No. 1
## SiAuBr2 (PBE)

Data for an optimized crystal structure of SiAuBr2.

## Properties
energy above the most stable polymorph in this dataset	48.4	kJ per mole of atoms
crystal system	trigonal
E_form (uncorrected)	301.0	meV per atom

a b c (Å): 10.3295 10.3295 10.3295
angles (deg): 20.09 20.09 20.09
Atoms (fractional coordinates):
Si 0.2500 0.2500 0.2500
Au 0.7500 0.7500 0.7500
Br 0.5261 0.5261 0.5261
Br 0.9739 0.9739 0.9739

No. 2
## SiAu2Br (PBE)

Data for an optimized crystal structure of SiAu2Br.

## Properties
energy above the most stable polymorph in this dataset	60.3	kJ per mole of atoms
crystal system	cubic
E_form (uncorrected)	629.3	meV per atom

a b c (Å): 4.8451 4.8451 4.8451
angles (deg): 60.00 60.00 60.00
Atoms (fractional coordinates):
Si 0.0000 0.0000 0.0000
Br 0.5000 0.5000 0.5000
Au 0.2500 0.2500 0.2500
Au 0.7500 0.7500 0.7500

No. 3
## SiAu2Br (PBE)

Data for an optimized crystal structure of SiAu2Br.

## Properties
energy above the most stable polymorph in this dataset	25.3	kJ per mole of atoms
crystal system	orthorhombic
E_form (uncorrected)	267.0	meV per atom

a b c (Å): 2.7731 3.5467 8.6162
angles (deg): 90.00 90.00 90.00
Atoms (fractional coordinates):
Au 0.0000 0.0000 0.9340
Br 0.5000 0.5000 0.2500
Si 0.5000 0.5000 0.7500
Au 0.0000 0.0000 0.5660

No. 4
## SiAu2Br (PBE)

Data for an optimized crystal structure of SiAu2Br.

## Properties
energy above the most stable polymorph in this dataset	37.0	kJ per mole of atoms
crystal system	orthorhombic
E_form (uncorrected)	388.2	meV per atom

a b c (Å): 4.7873 4.8027 4.7964
angles (deg): 68.92 73.72 111.00
Atoms (fractional coordinates):
Au 0.0000 0.0000 0.0000
Br 0.0000 0.5000 0.5000
Au 0.5000 0.0000 0.5000
Si 0.5000 0.5000 0.0000

No. 5
## Si4AuBr (PBE)

Data for an optimized crystal structure of Si4AuBr.

## Properties
crystal system	cubic
E_form (uncorrected)	647.0	meV per atom

a b c (Å): 5.3528 5.3528 5.3528
angles (deg): 60.00 60.00 60.00
Atoms (fractional coordinates):
Si 0.3746 0.3746 0.3746
Si 0.8762 0.3746 0.3746
Br 0.0000 0.0000 0.0000
Si 0.3746 0.3746 0.8762
Si 0.3746 0.8762 0.3746
Au 0.7500 0.7500 0.7500

No. 6
## Si2AuBr (PBE)

Data for an optimized crystal structure of Si2AuBr.

## Properties
energy above the most stable polymorph in this dataset	15.0	kJ per mole of atoms
crystal system	trigonal
E_form (uncorrected)	149.4	meV per atom

a b c (Å): 6.7896 6.7896 6.7896
angles (deg): 33.09 33.09 33.09
Atoms (fractional coordinates):
Au 0.5195 0.5195 0.5195
Br 0.7491 0.7491 0.7491
Si 0.9698 0.9698 0.9698
Si 0.2615 0.2615 0.2615

No. 7
## Si2AuBr (PBE)

Data for an optimized crystal structure of Si2AuBr.

## Properties
energy above the most stable polymorph in this dataset	24.2	kJ per mole of atoms
crystal system	orthorhombic
E_form (uncorrected)	244.3	meV per atom

a b c (Å): 7.5004 7.5004 7.5004
angles (deg): 153.83 150.51 39.83
Atoms (fractional coordinates):
Br 0.2272 0.7272 0.5000
Si 0.8312 0.3312 0.5000
Si 0.9580 0.9580 0.0000
Au 0.4836 0.4836 0.0000

No. 8
## SiAuBr3 (PBE)

Data for an optimized crystal structure of SiAuBr3.

## Properties
energy above the most stable polymorph in this dataset	0.0	kJ per mole of atoms
crystal system	cubic
E_form (uncorrected)	185.0	meV per atom

a b c (Å): 5.1366 5.1366 5.1366
angles (deg): 90.00 90.00 90.00
Atoms (fractional coordinates):
Si 0.0000 0.0000 0.0000
Br 0.5000 0.0000 0.0000
Br 0.0000 0.5000 0.0000
Au 0.5000 0.5000 0.5000
Br 0.0000 0.0000 0.5000

No. 9
## Si2AuBr (PBE)

Data for an optimized crystal structure of Si2AuBr.

## Properties
energy above the most stable polymorph in this dataset	35.4	kJ per mole of atoms
crystal system	orthorhombic
E_form (uncorrected)	360.5	meV per atom

a b c (Å): 3.5058 3.5058 7.3424
angles (deg): 90.00 90.00 112.85
Atoms (fractional coordinates):
Br 0.5000 0.5000 0.7468
Si 0.5000 0.5000 0.2407
Si 0.0000 0.0000 0.0544
Au 0.0000 0.0000 0.4582

No. 10
## SiAu2Br (PBE)

Data for an optimized crystal structure of SiAu2Br.

## Properties
energy above the most stable polymorph in this dataset	53.4	kJ per mole of atoms
crystal system	cubic
E_form (uncorrected)	558.3	meV per atom

a b c (Å): 4.8741 4.8741 4.8741
angles (deg): 60.00 60.00 60.00
Atoms (fractional coordinates):
Au 0.0000 0.0000 0.0000
Br 0.5000 0.5000 0.5000
Au 0.2500 0.2500 0.2500
Si 0.7500 0.7500 0.7500

No. 11
## Si2AuBr (PBE)

Data for an optimized crystal structure of Si2AuBr.

## Properties
energy above the most stable polymorph in this dataset	62.4	kJ per mole of atoms
crystal system	cubic
E_form (uncorrected)	640.0	meV per atom

a b c (Å): 4.7426 4.7426 4.7426
angles (deg): 60.00 60.00 60.00
Atoms (fractional coordinates):
Si 0.7500 0.7500 0.7500
Si 0.2500 0.2500 0.2500
Br 0.0000 0.0000 0.0000
Au 0.5000 0.5000 0.5000

No. 12
## SiAuBr3 (PBE)

Data for an optimized crystal structure of SiAuBr3.

## Properties
energy above the most stable polymorph in this dataset	28.2	kJ per mole of atoms
crystal system	cubic
E_form (uncorrected)	477.0	meV per atom

a b c (Å): 5.2950 5.2950 5.2950
angles (deg): 90.00 90.00 90.00
Last column: magnetic moment on the atom in μB.
Atoms (fractional coordinates):
Br 0.5000 0.0000 0.0000  -0.03
Br 0.0000 0.0000 0.5000  -0.02
Br 0.0000 0.5000 0.0000  -0.01
Si 0.5000 0.5000 0.5000  0.28
Au 0.0000 0.0000 0.0000  0.00

No. 13
## Si2AuBr (PBE)

Data for an optimized crystal structure of Si2AuBr.

## Properties
energy above the most stable polymorph in this dataset	59.6	kJ per mole of atoms
crystal system	tetragonal
E_form (uncorrected)	611.2	meV per atom

a b c (Å): 2.9800 5.0616 5.0616
angles (deg): 90.00 90.00 90.00
Atoms (fractional coordinates):
Si 0.0000 0.5000 0.5000
Si 0.0000 0.0000 0.0000
Au 0.5000 0.5000 0.0000
Br 0.5000 0.0000 0.5000

No. 14
## Si2AuBr (PBE)

Data for an optimized crystal structure of Si2AuBr.

## Properties
energy above the most stable polymorph in this dataset	44.0	kJ per mole of atoms
crystal system	tetragonal
E_form (uncorrected)	449.1	meV per atom

a b c (Å): 3.3050 3.3050 7.2900
angles (deg): 90.00 90.00 90.00
Atoms (fractional coordinates):
Si 0.0000 0.0000 0.0413
Au 0.5000 0.5000 0.2500
Si 0.0000 0.0000 0.4587
Br 0.5000 0.5000 0.7500

No. 15
## SiAu3Br (PBE)

Data for an optimized crystal structure of SiAu3Br.

## Properties
energy above the most stable polymorph in this dataset	85.3	kJ per mole of atoms
crystal system	cubic
E_form (uncorrected)	1256.6	meV per atom

a b c (Å): 5.1019 5.1019 5.1019
angles (deg): 90.00 90.00 90.00
Atoms (fractional coordinates):
Si 0.5000 0.5000 0.5000
Au 0.0000 0.5000 0.0000
Au 0.0000 0.0000 0.5000
Au 0.5000 0.0000 0.0000
Br 0.0000 0.0000 0.0000